1.
# TaCdBr3

A geometry-optimized TaCdBr3 structure (GGA-PBEsol, Alexandria via LeMat-Bulk).

Results
E_form (uncorrected): 18.43 kcal/mol of atoms
crystal system: cubic
magnetic moment: 3.87 μB/f.u.

POSCAR file:
```
TaCdBr3
1.0
5.283 0.000 0.000
0.000 5.283 0.000
0.000 0.000 5.283
Ta Cd Br
1 1 3
Cartesian
0.000 0.000 0.000
2.641 2.641 2.641
0.000 2.641 2.641
2.641 0.000 2.641
2.641 2.641 0.000
```

2.
# Ta2CdBr

A geometry-optimized Ta2CdBr structure (GGA-PBEsol, Alexandria via LeMat-Bulk).

Results
E_form (uncorrected): 21.96 kcal/mol of atoms
crystal system: cubic
magnetic moment: 0.00 μB/f.u.

POSCAR file:
```
Ta2CdBr
1.0
0.000 3.373 3.373
3.373 0.000 3.373
3.373 3.373 0.000
Ta Cd Br
2 1 1
Cartesian
0.000 0.000 0.000
1.686 1.686 1.686
3.373 3.373 3.373
5.059 5.059 5.059
```

3.
# TaCd4Br

A geometry-optimized TaCd4Br structure (GGA-PBEsol, Alexandria via LeMat-Bulk).

Results
E_form (uncorrected): 13.67 kcal/mol of atoms
crystal system: cubic
magnetic moment: 2.04 μB/f.u.

POSCAR file:
```
TaCd4Br
1.0
0.000 4.004 4.004
4.004 0.000 4.004
4.004 4.004 0.000
Ta Cd Br
1 4 1
Cartesian
0.000 0.000 0.000
5.013 2.995 2.995
2.995 5.013 2.995
2.995 2.995 5.013
5.013 5.013 5.013
2.002 2.002 2.002
```

4.
# Ta2CdBr

A geometry-optimized Ta2CdBr structure (GGA-PBEsol, Alexandria via LeMat-Bulk).

Results
E_form (uncorrected): 20.41 kcal/mol of atoms
crystal system: tetragonal
magnetic moment: 0.00 μB/f.u.

POSCAR file:
```
Ta2CdBr
1.0
-2.017 2.017 4.750
2.017 -2.017 4.750
2.017 2.017 -4.750
Ta Cd Br
2 1 1
Cartesian
2.017 0.000 2.375
0.000 2.017 2.375
0.000 0.000 0.000
0.000 0.000 4.750
```